VASP calculation (GGA-PBE) on an optimized crystal structure of ThGa11Rh.

SG: C2/m, No. 12
Energy relative to the elements, eV/atom: -0.215

Lattice parameters (Å, degrees): 5.2008 7.9009 6.6448 82.77 66.96 71.25
Last column: nearest neighbours and their distance in Å.
Sites, in units of the cell vectors:
Ga: 0.0000 0.0000 0.5000  6 Ga 2.60-2.77
Ga: 0.0246 0.6367 0.3520  1 Rh 2.67, 4 Ga 2.74-2.83
Ga: 0.4931 0.2282 0.7832  6 Ga 2.65-2.83, 1 Rh 2.75
Ga: 0.0000 0.5000 0.0000  2 Rh 2.60, 8 Ga 2.76
Ga: 0.3766 0.6367 0.6480  1 Rh 2.67, 4 Ga 2.74-2.83
Ga: 0.2763 0.2282 0.2168  6 Ga 2.65-2.83, 1 Rh 2.75
Ga: 0.6234 0.3633 0.3520  1 Rh 2.67, 4 Ga 2.74-2.83
Ga: 0.5000 0.0000 0.5000  6 Ga 2.60-2.77
Ga: 0.9754 0.3633 0.6480  1 Rh 2.67, 4 Ga 2.74-2.83
Ga: 0.5069 0.7718 0.2168  6 Ga 2.65-2.83, 1 Rh 2.75
Ga: 0.7237 0.7718 0.7832  6 Ga 2.65-2.83, 1 Rh 2.75
Th: 0.0000 0.0000 0.0000  16 Ga 3.32-3.47
Rh: 0.5000 0.5000 0.0000  10 Ga 2.60-2.75

***

VASP calculation (GGA-PBE) on an optimized crystal structure of YThGaRh.

SG: Amm2, No. 38
Distance to the lowest polymorph of the same formula, meV per atom: 0
Energy relative to the elements, eV/atom: -0.774

Lattice parameters (Å, degrees): 4.2048 3.9068 6.1358 90.00 110.04 90.00
Last column: nearest neighbours and their distance in Å.
Sites, in units of the cell vectors:
Y: 0.1467 0.0000 0.2933  4 Ga 2.98, 1 Rh 3.01
Rh: 0.4079 0.0000 0.8158  2 Ga 2.76, 4 Th 2.91, 1 Y 3.01
Th: 0.8688 0.5000 0.7376  4 Rh 2.91, 2 Ga 3.19
Ga: 0.5766 0.5000 0.1532  2 Rh 2.76, 4 Y 2.98

***

| no. | N(E_F) (states/eV per cell) | E_tot (eV per cell) |
| --- | --- | --- |
| 1 | 4.95 | -50.9 |
| 2 | 2.97 | -27.4 |